Compound: Pa2Mn2O7
Source: the Alexandria database
Functional: PBE with a Hubbard U
Structure: relaxed

Values from the calculation:
- Energy: -8.99 eV per atom
- Magnetization: 10.00 μB/f.u.

```
22
Lattice="4.3941 0.0000 0.0000 0.0000 6.1605 0.0000 -1.0753 0.0000 15.1392" Properties=species:S:1:pos:R:3 pbc="T T T"
Pa 0.0051 0.0000 1.4535
Pa 0.0057 3.4050 4.6476
Pa 3.3131 0.3248 10.4917
Pa 3.3137 3.0802 13.6858
Mn -0.5389 3.3971 7.8903
Mn 1.1152 5.2687 12.6314
Mn 2.2036 2.1885 2.5078
Mn 3.8578 0.3169 7.2489
O -0.0024 4.3670 0.2472
O 0.0054 1.9290 2.7642
O 0.0063 4.9761 3.1976
O -0.1059 4.7547 6.2960
O -0.0625 2.0083 6.2132
O 1.1151 0.0837 10.8504
O 1.1164 3.4333 13.5493
O 2.2024 0.3531 1.5899
O 2.2037 3.1640 4.2888
O 3.3813 5.0886 8.9260
O 3.4248 1.6745 8.8433
O 3.3126 1.8959 11.9417
O 3.3134 5.0092 12.3751
O 3.3212 1.2868 14.8920
```